Record 1
A relaxed structure of DyPuAlGa. Source: Alexandria via LeMat-Bulk, functional PBE.

```
data_DyPuAlGa
_chemical_formula_sum 'Dy1 Pu1 Al1 Ga1'
_space_group_name_H-M_alt 'P 1'
_space_group_IT_number 1
_cell_length_a 5.073
_cell_length_b 5.073
_cell_length_c 5.073
_cell_angle_alpha 60.00
_cell_angle_beta 60.00
_cell_angle_gamma 60.00
loop_
_space_group_symop_operation_xyz
'x,y,z'
loop_
_atom_site_label
_atom_site_fract_x
_atom_site_fract_y
_atom_site_fract_z
Dy1 0.000 0.000 0.000
Pu1 0.500 0.500 0.500
Al1 0.250 0.250 0.250
Ga1 0.750 0.750 0.750
```

Output
Final energy   -6.74 eV per atom
Total moment   5.50 μB per formula unit
Formation enthalpy at 0 K   -0.32 eV per atom

=====

Record 2
A relaxed structure of TePdAuI2. Source: Alexandria via LeMat-Bulk, functional PBE.

```
data_TePdAuI2
_chemical_formula_sum 'Te1 Pd1 Au1 I2'
_space_group_name_H-M_alt 'P 1'
_space_group_IT_number 1
_cell_length_a 5.455
_cell_length_b 5.455
_cell_length_c 5.315
_cell_angle_alpha 90.00
_cell_angle_beta 90.00
_cell_angle_gamma 90.00
loop_
_space_group_symop_operation_xyz
'x,y,z'
loop_
_atom_site_label
_atom_site_fract_x
_atom_site_fract_y
_atom_site_fract_z
Te1 0.000 0.000 0.000
Pd1 0.000 0.000 0.500
Au1 0.500 0.500 0.000
I1 0.000 0.500 0.500
I2 0.500 0.000 0.500
```

Output
Final energy   -2.47 eV per atom
Total moment   0.02 μB per formula unit
Formation energy without anion corrections   2.35 eV/f.u.

=====

What is the total moment in the first record? 5.50 μB per formula unit

=====

Copy entry 1 word for word.
A relaxed structure of DyPuAlGa. Source: Alexandria via LeMat-Bulk, functional PBE.

```
data_DyPuAlGa
_chemical_formula_sum 'Dy1 Pu1 Al1 Ga1'
_space_group_name_H-M_alt 'P 1'
_space_group_IT_number 1
_cell_length_a 5.073
_cell_length_b 5.073
_cell_length_c 5.073
_cell_angle_alpha 60.00
_cell_angle_beta 60.00
_cell_angle_gamma 60.00
loop_
_space_group_symop_operation_xyz
'x,y,z'
loop_
_atom_site_label
_atom_site_fract_x
_atom_site_fract_y
_atom_site_fract_z
Dy1 0.000 0.000 0.000
Pu1 0.500 0.500 0.500
Al1 0.250 0.250 0.250
Ga1 0.750 0.750 0.750
```

Output
Final energy   -6.74 eV per atom
Total moment   5.50 μB per formula unit
Formation enthalpy at 0 K   -0.32 eV per atom

=====

total moment of number 1 (DyPuAlGa)? 5.50 μB per formula unit